DFT (GGA-PBE) results for an optimized crystal structure of Dy6YTe2Pd2.

E_tot: -5.46 eV per atom
Magnetization: 0.003 μB per cell
Symmetry: Imm2 (44)

Structure (extended XYZ):
```
11
Lattice="-1.9683 7.9014 4.8191 1.9683 -7.9014 4.8191 1.9683 7.9014 -4.8191" Properties=species:S:1:pos:R:3 pbc="T T T"
Dy 1.9683 -5.8767 3.7977
Dy 0.0000 10.7861 0.9753
Dy 0.0000 5.0167 0.9753
Pd 0.0000 3.7570 3.9103
Pd 1.9683 4.1444 -0.9088
Te 0.0000 7.9014 2.3252
Dy 1.9683 2.2709 2.3318
Dy 1.9683 -2.2709 2.3318
Dy 1.9683 5.8767 3.7977
Te 0.0000 0.0000 1.3604
Y 0.0000 0.0000 4.6067
```

***

DFT (GGA-PBE) results for an optimized crystal structure of PmMo.

E_tot: -7.20 eV per atom
Magnetization: 0.001 μB per cell
Symmetry: P6_3/mmc (194)
Formation enthalpy at 0 K: 115 kJ/mol of formula units

Structure (extended XYZ):
```
4
Lattice="-4.1776 2.8447 0.8151 -0.2373 -5.0917 0.4766 1.1560 0.3774 4.6077" Properties=species:S:1:pos:R:3 pbc="T T T"
Mo 0.5780 0.1887 2.3039
Pm -1.2618 -2.3519 1.7413
Pm -1.9972 0.4823 4.1580
Mo 0.0000 0.0000 0.0000
```

***

DFT (GGA-PBE) results for an optimized crystal structure of SrSiW.

E_tot: -4.67 eV per atom
Magnetization: 3.623 μB per cell
Symmetry: F-43m (216)

Structure (extended XYZ):
```
3
Lattice="0.0000 3.4979 3.4979 3.4979 0.0000 3.4979 3.4979 3.4979 0.0000" Properties=species:S:1:pos:R:3 pbc="T T T"
W 5.2468 5.2468 5.2468
Si 1.7489 1.7489 1.7489
Sr 0.0000 0.0000 0.0000
```